No. 1
Entry from OQMD: an optimized crystal structure of Sr2TcAs (PBE).

Cell lengths 5.1009, 5.1009, 5.1009 Å; angles 60.00, 60.00, 60.00 degrees
Last column: magnetic moment on the atom in μB.
Fractional positions:
As1 0.0000 0.0000 0.0000  0.00
Sr1 0.7500 0.7500 0.7500  -0.03
Sr2 0.5000 0.5000 0.5000  0.08
Tc1 0.2500 0.2500 0.2500  1.63

Results
As for the volume: 23.462 A^3/atom. The space group is F-43m. The value obtained for the total DFT energy (no corrections) is -4.254 eV per atom. Its crystal system is cubic.

---

No. 2
Entry from OQMD: an optimized crystal structure of BeTlCoCu (PBE).

Cell lengths 4.2470, 4.2470, 4.2470 Å; angles 60.00, 60.00, 60.00 degrees
Fractional positions:
Be1 0.5000 0.5000 0.5000
Co1 0.7500 0.7500 0.7500
Cu1 0.2500 0.2500 0.2500
Tl1 0.0000 0.0000 0.0000

Results
As for the volume: 13.542 A^3/atom. The space group is F-43m. The value obtained for the total DFT energy (no corrections) is -3.791 eV per atom. Its crystal system is cubic.

---

No. 3
Entry from OQMD: an optimized crystal structure of LiLuPd2 (PBE).

Cell lengths 4.6038, 4.6038, 8.2735 Å; angles 90.00, 90.00, 120.00 degrees
Fractional positions:
Li1 0.3333 0.6667 0.2500
Li2 0.6667 0.3333 0.7500
Lu1 0.0000 0.0000 0.5000
Lu2 0.0000 0.0000 0.0000
Pd1 0.3333 0.6667 0.5901
Pd2 0.3333 0.6667 0.9099
Pd3 0.6667 0.3333 0.4099
Pd4 0.6667 0.3333 0.0901

Results
As for the volume: 18.983 A^3/atom. The space group is P6_3/mmc. The value obtained for the total DFT energy (no corrections) is -4.818 eV per atom. Its crystal system is hexagonal.

---

No. 4
Entry from OQMD: an optimized crystal structure of Nb4Mo2C3S3 (PBE).

Cell lengths 5.6822, 5.6822, 12.1504 Å; angles 103.27, 103.27, 59.94 degrees
Fractional positions:
C1 0.5000 0.0000 0.0000
C2 0.0000 0.5000 0.5000
C3 0.6639 0.1720 0.4997
C4 0.3361 0.8280 0.5003
C5 0.8280 0.3361 0.0003
C6 0.1720 0.6639 0.9997
S1 0.4172 0.2642 0.7496
S2 0.1015 0.8985 0.7500
S3 0.5828 0.7358 0.2504
S4 0.2642 0.4172 0.2496
S5 0.8985 0.1015 0.2500
S6 0.7358 0.5828 0.7504
Nb1 0.3002 0.1285 0.4001
Nb2 0.6998 0.8715 0.5999
Nb3 0.8715 0.6998 0.0999
Nb4 0.1944 0.0386 0.1001
Nb5 0.8056 0.9614 0.8999
Nb6 0.9614 0.8056 0.3999
Nb7 0.0386 0.1944 0.6001
Nb8 0.1285 0.3002 0.9001
Mo1 0.3542 0.5267 0.5830
Mo2 0.4733 0.6458 0.9170
Mo3 0.6458 0.4733 0.4170
Mo4 0.5267 0.3542 0.0830

Results
As for the volume: 13.641 A^3/atom. The space group is C2/c. The value obtained for the total DFT energy (no corrections) is -9.063 eV per atom. Its crystal system is monoclinic.

---

No. 5
Entry from OQMD: an optimized crystal structure of PrThP2 (PBE).

Cell lengths 4.1706, 4.1706, 7.2205 Å; angles 106.77, 106.77, 59.99 degrees
Fractional positions:
Pr1 0.5000 0.5000 0.0000
P1 0.2524 0.2524 0.2573
P2 0.7476 0.7476 0.7427
Th1 0.0000 0.0000 0.5000

Results
As for the volume: 25.635 A^3/atom. The space group is R-3m. The value obtained for the total DFT energy (no corrections) is -7.314 eV per atom. Its crystal system is trigonal.

---

No. 6
Entry from OQMD: an optimized crystal structure of GdZrSe2O (PBE).

Cell lengths 6.2985, 6.2985, 9.2034 Å; angles 95.25, 95.25, 34.16 degrees
Last column: magnetic moment on the atom in μB.
Fractional positions:
O1 0.3338 0.3338 0.5540  0.00
O2 0.6662 0.6662 0.4460  0.00
Se1 0.9295 0.9295 0.2837  0.00
Se2 0.3477 0.3477 0.9132  0.00
Se3 0.0705 0.0705 0.7163  0.00
Se4 0.6523 0.6523 0.0868  0.00
Gd1 0.2265 0.2265 0.3222  0.02
Gd2 0.7735 0.7735 0.6778  0.02
Zr1 0.0000 0.0000 0.0000  0.26
Zr2 0.5000 0.5000 0.5000  0.04

Results
As for the volume: 20.407 A^3/atom. The space group is C2/m. The value obtained for the total DFT energy (no corrections) is -7.158 eV per atom. Its crystal system is monoclinic.

---

No. 7
Entry from OQMD: an optimized crystal structure of TlCuTcAu (PBE).

Cell lengths 4.6097, 4.6097, 4.6097 Å; angles 60.00, 60.00, 60.00 degrees
Fractional positions:
Au1 0.5000 0.5000 0.5000
Tc1 0.2500 0.2500 0.2500
Cu1 0.7500 0.7500 0.7500
Tl1 0.0000 0.0000 0.0000

Results
As for the volume: 17.316 A^3/atom. The space group is F-43m. The value obtained for the total DFT energy (no corrections) is -4.390 eV per atom. Its crystal system is cubic.

---

No. 8
Entry from OQMD: an optimized crystal structure of Er6FeSb2 (PBE).

Cell lengths 8.1384, 8.1384, 4.1049 Å; angles 90.00, 90.00, 120.00 degrees
Fractional positions:
Er1 0.0000 0.3948 0.5000
Er2 0.6052 0.6052 0.5000
Er3 0.2338 0.2338 0.0000
Er4 0.7662 0.0000 0.0000
Er5 0.0000 0.7662 0.0000
Er6 0.3948 0.0000 0.5000
Sb1 0.3333 0.6667 0.0000
Sb2 0.6667 0.3333 0.0000
Fe1 0.0000 0.0000 0.5000

Results
As for the volume: 26.162 A^3/atom. The space group is P-62m. The value obtained for the total DFT energy (no corrections) is -5.436 eV per atom. Its crystal system is hexagonal.

---

No. 9
Entry from OQMD: an optimized crystal structure of BaGaHg (PBE).

Cell lengths 5.3014, 5.3014, 5.3014 Å; angles 60.00, 60.00, 60.00 degrees
Fractional positions:
Hg1 0.0000 0.0000 0.0000
Ba1 0.2500 0.2500 0.2500
Ga1 0.7500 0.7500 0.7500

Results
As for the volume: 35.118 A^3/atom. The space group is F-43m. The value obtained for the total DFT energy (no corrections) is -1.958 eV per atom. Its crystal system is cubic.

---

No. 10
Entry from OQMD: an optimized crystal structure of Hf2Co3Mo4N3 (PBE).

Cell lengths 5.1944, 5.1944, 13.1671 Å; angles 101.00, 101.00, 60.45 degrees
Last column: magnetic moment on the atom in μB.
Fractional positions:
N1 0.6448 0.2079 0.9995  0.00
N2 0.2080 0.6448 0.4995  0.00
N3 0.3552 0.7921 0.0005  0.00
N4 0.5000 0.0000 0.5000  0.00
N5 0.7920 0.3552 0.5005  0.00
N6 0.0000 0.5000 0.0000  0.00
Co1 0.0948 0.4135 0.7513  -0.10
Co2 0.9185 0.0815 0.2500  -0.10
Co3 0.9052 0.5865 0.2487  -0.10
Co4 0.0815 0.9185 0.7500  -0.10
Co5 0.5865 0.9052 0.7487  -0.11
Co6 0.4135 0.0948 0.2513  -0.11
Mo1 0.0424 0.1814 0.0872  -0.01
Mo2 0.9576 0.8186 0.9128  -0.01
Mo3 0.1814 0.0424 0.5872  -0.01
Mo4 0.1298 0.3012 0.4123  -0.01
Mo5 0.8702 0.6988 0.5877  -0.01
Mo6 0.3012 0.1298 0.9123  -0.01
Mo7 0.8186 0.9576 0.4128  -0.01
Mo8 0.6988 0.8702 0.0877  -0.01
Hf1 0.6224 0.4627 0.8771  0.01
Hf2 0.5373 0.3776 0.6229  0.01
Hf3 0.4627 0.6224 0.3771  0.01
Hf4 0.3776 0.5373 0.1229  0.01

Results
As for the volume: 12.560 A^3/atom. The space group is C2/c. The value obtained for the total DFT energy (no corrections) is -9.539 eV per atom. Its crystal system is monoclinic.

---

No. 11
Entry from OQMD: an optimized crystal structure of LuAlHgTe3 (PBE).

Cell lengths 8.9081, 8.9081, 11.6209 Å; angles 90.00, 90.00, 152.74 degrees
Fractional positions:
Lu1 0.5000 0.5000 0.0000
Lu2 0.5000 0.5000 0.5000
Te1 0.1205 0.8795 0.9429
Te2 0.4407 0.5593 0.7500
Te3 0.1205 0.8795 0.5571
Te4 0.8795 0.1205 0.0571
Te5 0.5593 0.4407 0.2500
Te6 0.8795 0.1205 0.4429
Hg1 0.7593 0.2407 0.7500
Hg2 0.2407 0.7593 0.2500
Al1 0.9565 0.0435 0.2500
Al2 0.0435 0.9565 0.7500

Results
As for the volume: 35.201 A^3/atom. The space group is Cmcm. The value obtained for the total DFT energy (no corrections) is -3.729 eV per atom. Its crystal system is orthorhombic.

---

No. 12
Entry from OQMD: an optimized crystal structure of ErCd2 (PBE).

Cell lengths 5.8368, 5.8368, 5.8368 Å; angles 60.00, 60.00, 60.00 degrees
Fractional positions:
Er1 0.0000 0.0000 0.0000
Er2 0.2500 0.2500 0.2500
Cd1 0.6250 0.6250 0.1250
Cd2 0.1250 0.6250 0.6250
Cd3 0.6250 0.6250 0.6250
Cd4 0.6250 0.1250 0.6250

Results
As for the volume: 23.434 A^3/atom. The calculation puts the energy of formation at -244 meV/atom. The space group is Fd-3m. The value obtained for the total DFT energy (no corrections) is -2.362 eV per atom. Its crystal system is cubic.

---

What is the volume in the twelfth record? 23.434 A^3/atom

---

What did the tenth record say?
Entry from OQMD: an optimized crystal structure of Hf2Co3Mo4N3 (PBE).

Cell lengths 5.1944, 5.1944, 13.1671 Å; angles 101.00, 101.00, 60.45 degrees
Last column: magnetic moment on the atom in μB.
Fractional positions:
N1 0.6448 0.2079 0.9995  0.00
N2 0.2080 0.6448 0.4995  0.00
N3 0.3552 0.7921 0.0005  0.00
N4 0.5000 0.0000 0.5000  0.00
N5 0.7920 0.3552 0.5005  0.00
N6 0.0000 0.5000 0.0000  0.00
Co1 0.0948 0.4135 0.7513  -0.10
Co2 0.9185 0.0815 0.2500  -0.10
Co3 0.9052 0.5865 0.2487  -0.10
Co4 0.0815 0.9185 0.7500  -0.10
Co5 0.5865 0.9052 0.7487  -0.11
Co6 0.4135 0.0948 0.2513  -0.11
Mo1 0.0424 0.1814 0.0872  -0.01
Mo2 0.9576 0.8186 0.9128  -0.01
Mo3 0.1814 0.0424 0.5872  -0.01
Mo4 0.1298 0.3012 0.4123  -0.01
Mo5 0.8702 0.6988 0.5877  -0.01
Mo6 0.3012 0.1298 0.9123  -0.01
Mo7 0.8186 0.9576 0.4128  -0.01
Mo8 0.6988 0.8702 0.0877  -0.01
Hf1 0.6224 0.4627 0.8771  0.01
Hf2 0.5373 0.3776 0.6229  0.01
Hf3 0.4627 0.6224 0.3771  0.01
Hf4 0.3776 0.5373 0.1229  0.01

Results
As for the volume: 12.560 A^3/atom. The space group is C2/c. The value obtained for the total DFT energy (no corrections) is -9.539 eV per atom. Its crystal system is monoclinic.

---

Look up the volume of the ninth one. 35.118 A^3/atom